No. 1
K4Hf3AgS8: relaxed, PBE.

a = 7.692 Å, b = 8.543 Å, c = 7.693 Å
α = 116.77°, β = 120.00°, γ = 90.00°
Positions (direct):
K 0.500 0.000 0.000
K 0.500 0.000 0.500
K 0.000 0.000 0.000
K 0.000 0.000 0.500
Hf 0.500 0.500 0.000
Hf 0.500 0.500 0.500
Hf 0.000 0.500 0.500
Ag 0.000 0.500 0.000
S 0.242 0.694 0.953
S 0.242 0.694 0.483
S 0.268 0.304 0.536
S 0.711 0.694 0.953
S 0.289 0.306 0.047
S 0.732 0.696 0.464
S 0.758 0.306 0.517
S 0.758 0.306 0.047

Results
Space-group type   R-3m, No. 166
E_form (uncorrected)   -1.32 eV per atom

No. 2
K2HfAg2Se4: relaxed, PBE.

a = 4.093 Å, b = 7.941 Å, c = 7.978 Å
α = 110.17°, β = 104.86°, γ = 90.00°
Positions (direct):
K 0.138 0.576 0.275
K 0.862 0.424 0.725
Hf 0.000 0.000 0.000
Ag 0.681 0.975 0.363
Ag 0.319 0.025 0.637
Se 0.186 0.198 0.372
Se 0.814 0.802 0.628
Se 0.505 0.768 0.010
Se 0.495 0.232 0.990

Results
Space-group type   C2/m, No. 12
E_form (uncorrected)   -0.92 eV per atom

Q: Which value of E_form (uncorrected) does entry 2 give?
A: -0.92 eV per atom